VASP calculation (PBE-GGA) on an optimized crystal structure of Na2FeAsPb.

Density ... 4.73 g/cm3
DFT total energy ... -16.2 eV per formula unit

```
data_Na2FeAsPb
_cell_length_a 5.1633
_cell_length_b 5.1633
_cell_length_c 5.0608
_cell_angle_alpha 90.00
_cell_angle_beta 90.00
_cell_angle_gamma 90.00
_space_group_name_H-M_alt 'P 4/m m m'
_space_group_IT_number 123
_space_group_name_Hall '-P 4 2'
loop_
_atom_site_label
_atom_site_type_symbol
_atom_site_fract_x
_atom_site_fract_y
_atom_site_fract_z
Na1 Na 0.0000 0.5000 0.0000
Fe1 Fe 0.0000 0.0000 0.0000
As1 As 0.5000 0.5000 0.5000
Pb1 Pb 0.0000 0.0000 0.5000
```